DFT (PBE) results for a relaxed structure of Ca3LaAu2.

a b c (Å): 4.2125 8.0892 10.6794
angles (deg): 90.00 90.00 90.00
Closest atoms and distances in Å follow each position.
Fractional positions:
1 Ca 0.0000 0.3290 0.2918  4 Au 3.06-3.39
2 Ca 0.5000 0.1642 0.8083  4 Au 3.11-3.19
3 Ca 0.0000 0.5024 0.9313  4 Au 3.15-3.18
4 Au 0.5000 0.7961 0.9144  8 Ca 3.06-3.19
5 Ca 0.0000 0.8290 0.7082  4 Au 3.06-3.39
6 Au 0.0000 0.2127 0.5972  4 Ca 3.11-3.39, 4 La 3.14-3.19
7 Au 0.5000 0.2961 0.0856  8 Ca 3.06-3.19
8 Au 0.0000 0.7127 0.4028  4 Ca 3.11-3.39, 4 La 3.14-3.19
9 La 0.5000 0.4955 0.5549  4 Au 3.14-3.19
10 La 0.5000 0.9955 0.4451  4 Au 3.14-3.19
11 Ca 0.0000 0.0024 0.0687  4 Au 3.15-3.18
12 Ca 0.5000 0.6642 0.1917  4 Au 3.11-3.19

Electronic total energy (eV/atom): -3.505
E_form (eV/atom): -0.590